First-principles (PBE-GGA) data for a relaxed PrY8Th4 crystal, as listed in the Alexandria database.

Values from the calculation:
For the raw total energy, the calculation gives -6.4097 eV per atom.

abc: 9.9471 9.9471 9.9471
angles: 43.72 43.72 43.72
Last column: nearest neighbours and their distance in Å.
Element x y z (fractional)
Pr: 0.0000 0.0000 0.0000  6 Y 2.94
Y: 0.2499 0.2499 0.6924  1 Pr 2.94, 2 Y 3.28
Y: 0.2499 0.6924 0.2499  1 Pr 2.94, 2 Y 3.28
Y: 0.2786 0.2786 0.2786  3 Th 3.70, 9 Y 3.72
Y: 0.3076 0.7501 0.7501  1 Pr 2.94, 2 Y 3.28
Y: 0.6924 0.2499 0.2499  1 Pr 2.94, 2 Y 3.28
Y: 0.7214 0.7214 0.7214  3 Th 3.70, 9 Y 3.72
Y: 0.7501 0.3076 0.7501  1 Pr 2.94, 2 Y 3.28
Y: 0.7501 0.7501 0.3076  1 Pr 2.94, 2 Y 3.28
Th: 0.0000 0.0000 0.5000  6 Y 3.58-3.70, 6 Th 3.70
Th: 0.0000 0.5000 0.0000  6 Y 3.58-3.70, 6 Th 3.70
Th: 0.5000 0.0000 0.0000  6 Y 3.58-3.70, 6 Th 3.70
Th: 0.5000 0.5000 0.5000  6 Y 3.35, 6 Th 3.70